--- P ---
# RbPb3O

A relaxed structure of RbPb3O (GGA-PBE, the Alexandria database).

Summary:
- ρ: 8.19 g/cm3
- Total moment: 0.0 μB/cell

Cell and atoms, written as POSCAR:
```
RbPb3O
1.0
-1.374 -5.074 -0.416
1.714 -0.867 4.911
-4.794 1.144 1.875
Pb Rb O
3 1 1
Direct
0.000 0.000 0.500
0.000 0.500 0.000
0.500 0.000 0.000
0.500 0.500 0.500
0.000 0.000 0.000
```


--- Q ---
# RbPb3O

A relaxed structure of RbPb3O (GGA-PBE, the Alexandria database).

Summary:
- ρ: 4.71 g/cm3
- Total moment: 2.5 μB/cell

Cell and atoms, written as POSCAR:
```
RbPb3O
1.0
6.341 0.000 0.000
0.000 6.341 0.000
0.000 0.000 6.341
Pb O Rb
3 1 1
Direct
0.500 0.000 0.000
0.000 0.000 0.500
0.000 0.500 0.000
0.500 0.500 0.500
0.000 0.000 0.000
```


Relative to the most stable structure, the computed energies are P 0; Q 1714, all in meV per atom.


--- P ---
# Re2PbO

A relaxed structure of Re2PbO (GGA-PBE, the Alexandria database).

Summary:
- ρ: 15.80 g/cm3
- Total moment: 0.0 μB/cell

Cell and atoms, written as POSCAR:
```
Re2PbO
1.0
-4.102 0.436 1.687
-1.481 4.014 1.249
-3.178 2.038 -2.368
Pb O Re
1 1 2
Direct
0.500 0.500 0.500
0.000 0.000 0.000
0.250 0.250 0.250
0.750 0.750 0.750
```


--- Q ---
# Re2PbO

A relaxed structure of Re2PbO (GGA-PBE, the Alexandria database).

Summary:
- ρ: 13.00 g/cm3
- Total moment: 0.0 μB/cell

Cell and atoms, written as POSCAR:
```
Re2PbO
1.0
-2.643 -3.752 1.169
2.975 -0.991 3.549
-3.510 1.517 6.527
Re Pb O
4 2 2
Direct
0.875 0.690 0.750
0.310 0.625 0.250
0.440 0.125 0.250
0.375 0.560 0.750
0.000 0.000 0.000
0.750 0.250 0.500
0.500 0.500 0.000
0.250 0.750 0.500
```


Relative to the most stable structure, the computed energies are P 812; Q 0, all in meV per atom.


--- P ---
# Rh2PbO

A relaxed structure of Rh2PbO (GGA-PBE, the Alexandria database).

Summary:
- ρ: 9.51 g/cm3
- Total moment: 0.0 μB/cell

Cell and atoms, written as POSCAR:
```
Rh2PbO
1.0
-1.939 -1.780 4.087
-1.794 -3.769 -2.492
3.457 -6.038 1.902
O Pb Rh
2 2 4
Direct
0.500 0.500 0.000
0.250 0.750 0.500
0.750 0.250 0.500
0.000 0.000 0.000
0.456 0.125 0.250
0.875 0.706 0.750
0.294 0.625 0.250
0.375 0.544 0.750
```


--- Q ---
# Rh2PbO

A relaxed structure of Rh2PbO (GGA-PBE, the Alexandria database).

Summary:
- ρ: 11.46 g/cm3
- Total moment: 2.0 μB/cell

Cell and atoms, written as POSCAR:
```
Rh2PbO
1.0
0.477 -3.699 2.421
0.548 0.281 4.404
-3.256 -1.304 2.733
Rh Pb O
2 1 1
Direct
0.250 0.250 0.250
0.750 0.750 0.750
0.500 0.500 0.500
0.000 0.000 0.000
```


Relative to the most stable structure, the computed energies are P 0; Q 519, all in meV per atom.


--- P ---
# RhPb3O

A relaxed structure of RhPb3O (GGA-PBE, the Alexandria database).

Summary:
- ρ: 10.52 g/cm3
- Total moment: 0.0 μB/cell

Cell and atoms, written as POSCAR:
```
RhPb3O
1.0
4.889 0.000 0.000
0.000 4.889 0.000
0.000 0.000 4.889
Pb O Rh
3 1 1
Direct
0.500 0.000 0.000
0.000 0.000 0.500
0.000 0.500 0.000
0.000 0.000 0.000
0.500 0.500 0.500
```


--- Q ---
# RhPb3O

A relaxed structure of RhPb3O (GGA-PBE, the Alexandria database).

Summary:
- ρ: 8.63 g/cm3
- Total moment: 0.0 μB/cell

Cell and atoms, written as POSCAR:
```
RhPb3O
1.0
5.222 0.000 0.000
0.000 5.222 0.000
0.000 0.000 5.222
Rh O Pb
1 1 3
Direct
0.000 0.000 0.000
0.500 0.500 0.500
0.000 0.500 0.000
0.000 0.000 0.500
0.500 0.000 0.000
```


Relative to the most stable structure, the computed energies are P 0; Q 275, all in meV per atom.